Entry 1:
First-principles (PBE-GGA) data for an optimized crystal structure of LiZrTiRu, as listed in Alexandria via LeMat-Bulk.

As for the energy of formation from the pure elements: -0.254 eV/atom.

It has space group F-43m (No. 216), with a = 6.402 Å, b = 6.402 Å, c = 6.402 Å, α = 90.00°, β = 90.00° and γ = 90.00°. The asymmetric unit holds Li at (0.000, 0.000, 0.000), Zr at (0.250, 0.250, 0.250), Ti at (0.250, 0.250, 0.750) and Ru at (0.000, 0.000, 0.500).


Entry 2:
First-principles (PBE-GGA) data for an optimized crystal structure of La3Pr2Sb3, as listed in Alexandria via LeMat-Bulk.

The uncorrected formation energy is -993 meV per atom.

It has space group P6_3/mcm (No. 193), with a = 9.5143 Å, b = 9.5143 Å, c = 6.6289 Å, α = 90.00°, β = 90.00° and γ = 120.00°. The asymmetric unit holds La at (0.0000, 0.2548, 0.2500), Pr at (0.3333, 0.6667, 0.0000) and Sb at (0.0000, 0.3856, 0.7500).


Entry 3:
First-principles (PBE-GGA) data for an optimized crystal structure of USnSe4, as listed in Alexandria via LeMat-Bulk.

The energy relative to the lowest polymorph listed for this composition comes out at 0 meV per atom. The uncorrected formation energy is -736 meV per atom.

It has space group C2/m (No. 12), with a = 14.782 Å, b = 4.159 Å, c = 7.252 Å, α = 90.00°, β = 118.78° and γ = 90.00°. The asymmetric unit holds U at (0.000, 0.000, 0.000), Sn at (0.000, 0.500, 0.500), Se at (0.115, 0.500, 0.258) and Se at (0.116, 0.000, 0.816).


Entry 4:
First-principles (PBE-GGA) data for an optimized crystal structure of BaReMo2, as listed in Alexandria via LeMat-Bulk.

As for the energy of formation from the pure elements: 1.358 eV/atom. The energy relative to the lowest polymorph listed for this composition comes out at 612 meV per atom.

It has space group C2/m (No. 12), with a = 6.244 Å, b = 9.243 Å, c = 2.854 Å, α = 90.00°, β = 111.33° and γ = 90.00°. The asymmetric unit holds Ba at (0.000, 0.000, 0.000), Re at (0.000, 0.500, 0.000) and Mo at (0.250, 0.250, 0.500).


| no. | spin magnetization (μB per cell) |
| --- | --- |
| 1 | 0.00 |
| 2 | 1.40 |
| 3 | 0.21 |
| 4 | 0.00 |